1.
{
  "formula": "Sc2CrReI",
  "functional": "PBEsol",
  "state": "optimized geometry",
  "lattice": [[5.005, 0.000, 0.000], [0.000, 5.005, 0.000], [0.000, 0.000, 4.314]],
  "species": ["Sc", "Sc", "Cr", "Re", "I"],
  "fractional_positions": [[0.000, 0.500, 0.000], [0.500, 0.000, 0.000], [0.000, 0.000, 0.000], [0.000, 0.000, 0.500], [0.500, 0.500, 0.500]],
  "crystal_system": "tetragonal",
  "spacegroup": "P4/mmm, No. 123"
}

=====

2.
{
  "formula": "YCr2ReI",
  "functional": "PBEsol",
  "state": "optimized geometry",
  "lattice": [[4.617, 0.000, 0.000], [0.000, 4.617, 0.000], [0.000, 0.000, 5.619]],
  "species": ["Y", "Cr", "Cr", "Re", "I"],
  "fractional_positions": [[0.000, 0.000, 0.000], [0.000, 0.500, 0.500], [0.500, 0.000, 0.500], [0.000, 0.000, 0.500], [0.500, 0.500, 0.000]],
  "crystal_system": "tetragonal",
  "spacegroup": "P4/mmm, No. 123"
}

=====

Number 1: mass density 7.0 g/cm³, E_tot -0.519 Ry per atom. Number 2: mass density 7.0 g/cm³, E_tot -0.556 Ry per atom.